First-principles (GGA-PBE) data for a relaxed AgIr2W crystal, as listed in the Alexandria database.

Lattice parameters (Å, degrees): 7.1933 7.1933 5.7827 51.54 51.54 90.00
Last column: nearest neighbours and their distance in Å.
Sites, in units of the cell vectors:
W: 0.0000 0.0000 0.0000  4 Ir 2.45
W: 0.7500 0.2500 0.5000  4 Ir 2.45
Ir: 0.0852 0.6250 0.2500  2 W 2.45
Ir: 0.3750 0.3352 0.7500  2 W 2.45
Ir: 0.6648 0.1250 0.2500  2 W 2.45
Ir: 0.8750 0.9148 0.7500  2 W 2.45
Ag: 0.2500 0.7500 0.5000  2 W 2.75, 4 Ir 2.84
Ag: 0.5000 0.5000 0.0000  2 W 2.75, 4 Ir 2.84

ΔH_f (0 K)   0.57 eV per atom
Energy relative to the lowest polymorph listed for this composition   0.5682 eV per atom
D(E_F)   4.451 states/eV/cell
Space-group type   I-42d (122)